[1]
This record from OQMD via LeMat-Bulk describes a geometry-optimized PaAlTe structure. The functional is PBE.

Total DFT energy (no corrections): -5.2266 eV/atom
Mass density: 7.49 g cm⁻³

Lattice parameters (Å, degrees): 6.9930 6.9930 6.9930 90.00 90.00 90.00
Space group F-43m (No. 216)
One atom of each set of equivalent atoms:
Pa (0.0000, 0.0000, 0.0000) x4
Al (0.0000, 0.0000, 0.5000) x4
Te (0.2500, 0.2500, 0.7500) x4

---

[2]
This record from OQMD via LeMat-Bulk describes a geometry-optimized CuAg9 structure. The functional is PBE.

Energy relative to the elements: 30 meV per atom
Total DFT energy (no corrections): -2.8836 eV/atom
Mass density: 9.86 g cm⁻³

Lattice parameters (Å, degrees): 5.0329 2.9234 11.9527 90.00 97.68 90.00
Space group P2/m (No. 10)
One atom of each set of equivalent atoms:
Cu (0.0000, 0.0000, 0.0000) x1
Ag (0.0984, 0.5000, 0.8094) x2
Ag (0.2003, 0.0000, 0.6033) x2
Ag (0.2985, 0.5000, 0.3988) x2
Ag (0.3955, 0.0000, 0.1962) x2
Ag (0.5000, 0.5000, 0.0000) x1

---

[3]
This record from OQMD via LeMat-Bulk describes a geometry-optimized IrF3 structure. The functional is PBE.

Total DFT energy (no corrections): -4.8465 eV/atom
Mass density: 6.77 g cm⁻³

Lattice parameters (Å, degrees): 9.9286 9.9286 9.9286 90.00 90.00 90.00
Space group Fd-3m (No. 227, origin choice 2)
One atom of each set of equivalent atoms:
Ir (0.0000, 0.0000, 0.0000) x16
F (0.0971, 0.3750, 0.3750) x48

---

[4]
This record from OQMD via LeMat-Bulk describes a geometry-optimized NaNdTl structure. The functional is PBE.

Total DFT energy (no corrections): -2.5185 eV/atom
Mass density: 6.02 g cm⁻³

Lattice parameters (Å, degrees): 7.4286 7.4286 7.4286 90.00 90.00 90.00
Space group F-43m (No. 216)
One atom of each set of equivalent atoms:
Na (0.0000, 0.0000, 0.0000) x4
Nd (0.2500, 0.2500, 0.2500) x4
Tl (0.0000, 0.0000, 0.5000) x4

---

[5]
This record from OQMD via LeMat-Bulk describes a geometry-optimized CsReTe3Au structure. The functional is PBE.

Total DFT energy (no corrections): -4.3465 eV/atom
Mass density: 7.71 g cm⁻³

Lattice parameters (Å, degrees): 4.0767 17.4261 10.9066 90.00 90.00 90.00
Space group Cmcm (No. 63)
One atom of each set of equivalent atoms:
Cs (0.0000, 0.2379, 0.2500) x4
Re (0.0000, 0.0000, 0.0000) x4
Te (0.0000, 0.0595, 0.7500) x4
Te (0.0000, 0.3921, 0.5213) x8
Au (0.0000, 0.4493, 0.7500) x4

---

[6]
This record from OQMD via LeMat-Bulk describes a geometry-optimized CdInPd2 structure. The functional is PBE.

Total DFT energy (no corrections): -3.9797 eV/atom
Mass density: 10.31 g cm⁻³

Lattice parameters (Å, degrees): 4.6538 4.6538 6.5436 90.00 90.00 90.00
Space group I4/mmm (No. 139)
One atom of each set of equivalent atoms:
Cd (0.0000, 0.0000, 0.0000) x2
In (0.0000, 0.0000, 0.5000) x2
Pd (0.0000, 0.5000, 0.2500) x4

---

[7]
This record from OQMD via LeMat-Bulk describes a geometry-optimized Ta3Nb3Os2 structure. The functional is PBE.

Energy relative to the elements: -292 meV per atom
Total DFT energy (no corrections): -11.3286 eV/atom
Mass density: 14.47 g cm⁻³

Lattice parameters (Å, degrees): 5.1386 5.1943 5.1688 90.00 90.00 90.00
Space group Pmm2 (No. 25)
One atom of each set of equivalent atoms:
Ta (0.0000, 0.0000, 0.0000) x1
Ta (0.5000, 0.2497, 0.7509) x2
Nb (0.0000, 0.0000, 0.5009) x1
Nb (0.2502, 0.5000, 0.2501) x2
Os (0.0000, 0.5000, 0.7512) x1
Os (0.5000, 0.0000, 0.2497) x1

---

[8]
This record from OQMD via LeMat-Bulk describes a geometry-optimized HgAuNO structure. The functional is PBE.

Total DFT energy (no corrections): -3.5637 eV/atom
Mass density: 12.03 g cm⁻³

Lattice parameters (Å, degrees): 5.6599 6.9410 6.0074 90.00 90.00 90.00
Space group Pca2_1 (No. 29)
One atom of each set of equivalent atoms:
Hg (0.1572, 0.1300, 0.0000) x4
Au (0.1590, 0.6241, 0.9425) x4
N (0.0020, 0.6070, 0.6102) x4
O (0.2256, 0.8857, 0.3142) x4

---

[9]
This record from OQMD via LeMat-Bulk describes a geometry-optimized RbPrMgS3 structure. The functional is PBE.

Total DFT energy (no corrections): -4.9225 eV/atom
Mass density: 3.25 g cm⁻³

Lattice parameters (Å, degrees): 4.2274 14.9047 11.2592 90.00 90.00 90.00
Space group Cmcm (No. 63)
One atom of each set of equivalent atoms:
Rb (0.0000, 0.2443, 0.2500) x4
Pr (0.0000, 0.5000, 0.0000) x4
Mg (0.0000, 0.0340, 0.7500) x4
S (0.0000, 0.1187, 0.5684) x8
S (0.0000, 0.4430, 0.7500) x4

---

[10]
This record from OQMD via LeMat-Bulk describes a geometry-optimized TcAgW structure. The functional is PBE.

Energy relative to the elements: 929 meV per atom
Total DFT energy (no corrections): -7.7859 eV/atom
Mass density: 12.48 g cm⁻³

Lattice parameters (Å, degrees): 4.8062 4.8062 7.7761 90.00 90.00 120.00
Space group R3m (No. 160, hexagonal axes)
One atom of each set of equivalent atoms:
Tc (0.0000, 0.0000, 0.0000) x3
Ag (0.0000, 0.0000, 0.6519) x3
W (0.0000, 0.0000, 0.2995) x3